Below is a relaxed AlZnCuMo crystal, with properties calculated at the GGA-PBE level.

## Properties
Relative energy among the computed polymorphs, meV per atom: 0
Total magnetic moment, μB/cell: 4.47

Lattice parameters (Å, degrees): 6.1049 6.1049 6.1049 90.00 90.00 90.00
With the nearest neighbours (Å) after each atom.
Space group F-43m (No. 216)
Unique sites:
Al  0.0000  0.0000  0.0000 x4  4 Mo 2.64, 4 Cu 2.64
Zn  0.0000  0.0000  0.5000 x4  4 Cu 2.64, 4 Mo 2.64
Cu  0.2500  0.2500  0.2500 x4  4 Al 2.64, 4 Zn 2.64
Mo  0.2500  0.2500  0.7500 x4  4 Al 2.64, 4 Zn 2.64


Below is a relaxed ZrAlCuMo crystal, with properties calculated at the GGA-PBE level.

## Properties
Relative energy among the computed polymorphs, meV per atom: 0
Total magnetic moment, μB/cell: 0.01

Lattice parameters (Å, degrees): 6.3942 6.3942 6.3942 90.00 90.00 90.00
With the nearest neighbours (Å) after each atom.
Space group F-43m (No. 216)
Unique sites:
Zr  0.0000  0.0000  0.0000 x4  4 Mo 2.77, 4 Cu 2.77
Al  0.0000  0.0000  0.5000 x4  4 Cu 2.77, 4 Mo 2.77
Cu  0.2500  0.2500  0.7500 x4  4 Zr 2.77, 4 Al 2.77
Mo  0.2500  0.2500  0.2500 x4  4 Zr 2.77, 4 Al 2.77


Below is a relaxed Sc4AlCuN2 crystal, with properties calculated at the GGA-PBE level.

## Properties
Total magnetic moment, μB/cell: 0.01
VASP energy, eV per atom: -7.20

Lattice parameters (Å, degrees): 3.1953 3.1953 14.0464 90.00 90.00 120.00
With the nearest neighbours (Å) after each atom.
Space group P-6m2 (No. 187)
Unique sites:
Sc  0.0000  0.0000  0.1498 x2  3 N 2.26
Sc  0.6667  0.3333  0.3278 x2  3 N 2.19
Al  0.0000  0.0000  0.5000 x1  6 Sc 3.04, 6 Al 3.20
Cu  0.6667  0.3333  0.0000 x1  6 Sc 2.80
N  0.3333  0.6667  0.2432 x2  6 Sc 2.19-2.26


Below is a relaxed AlCuW4N2 crystal, with properties calculated at the GGA-PBE level.

## Properties
Total magnetic moment, μB/cell: 0.02
VASP energy, eV per atom: -9.39

Lattice parameters (Å, degrees): 2.8223 2.8223 14.7590 90.00 90.00 120.00
With the nearest neighbours (Å) after each atom.
Space group P-6m2 (No. 187)
Unique sites:
Al  0.0000  0.0000  0.0000 x1  6 W 2.79, 6 Al 2.82
Cu  0.6667  0.3333  0.5000 x1  6 W 2.74, 6 Cu 2.82
W  0.0000  0.0000  0.3505 x2  3 N 2.19
W  0.6667  0.3333  0.1533 x2  3 N 2.18
N  0.3333  0.6667  0.2512 x2  6 W 2.18-2.19


Number 1: density 7.353 g cm⁻³. Number 2: density 7.055 g cm⁻³. Number 3: density 3.989 g cm⁻³. Number 4: density 13.927 g cm⁻³.